# 1
## PrCo4Cu (PBE-GGA)

Data for a relaxed PrCo4Cu crystal.

Values from the calculation:
formation enthalpy at 0 K	0.088	eV/atom
space-group type	No. 216
magnetic moment	5.70	μB/cell

a = 4.9789 Å, b = 4.9789 Å, c = 4.9789 Å
α = 60.00°, β = 60.00°, γ = 60.00°
Fractional positions:
Pr1 0.2500 0.2500 0.2500
Co1 0.6263 0.6263 0.1211
Co2 0.6263 0.1211 0.6263
Co3 0.6263 0.6263 0.6263
Co4 0.1211 0.6263 0.6263
Cu1 0.0000 0.0000 0.0000

---

# 2
## PrPuCoCu (PBE-GGA)

Data for a relaxed PrPuCoCu crystal.

Values from the calculation:
formation enthalpy at 0 K	0.083	eV/atom
space-group type	No. 216
magnetic moment	5.23	μB/cell

a = 4.9161 Å, b = 4.9161 Å, c = 4.9161 Å
α = 60.00°, β = 60.00°, γ = 60.00°
Fractional positions:
Pr1 0.7500 0.7500 0.7500
Co1 0.5000 0.5000 0.5000
Cu1 0.0000 0.0000 0.0000
Pu1 0.2500 0.2500 0.2500

---

# 3
## PrThCoCu (PBE-GGA)

Data for a relaxed PrThCoCu crystal.

Values from the calculation:
formation enthalpy at 0 K	-0.035	eV/atom
space-group type	No. 216
magnetic moment	0.00	μB/cell

a = 4.9943 Å, b = 4.9943 Å, c = 4.9943 Å
α = 60.00°, β = 60.00°, γ = 60.00°
Fractional positions:
Pr1 0.5000 0.5000 0.5000
Co1 0.7500 0.7500 0.7500
Cu1 0.2500 0.2500 0.2500
Th1 0.0000 0.0000 0.0000

---

# 4
## CoCu2Pt4 (PBE-GGA)

Data for a relaxed CoCu2Pt4 crystal.

Values from the calculation:
formation enthalpy at 0 K	-0.065	eV/atom
space-group type	No. 65
magnetic moment	2.94	μB/cell

a = 2.7089 Å, b = 3.9744 Å, c = 9.4267 Å
α = 102.17°, β = 90.00°, γ = 90.00°
Fractional positions:
Co1 0.0000 0.5000 0.0000
Cu1 0.5000 0.2138 0.4277
Cu2 0.5000 0.7862 0.5723
Pt1 0.5000 0.0715 0.1431
Pt2 0.0000 0.3481 0.6963
Pt3 0.5000 0.9285 0.8569
Pt4 0.0000 0.6519 0.3037

---

# 5
## Co2CuPt (PBE-GGA)

Data for a relaxed Co2CuPt crystal.

Values from the calculation:
formation enthalpy at 0 K	0.031	eV/atom
space-group type	No. 12
magnetic moment	3.83	μB/cell

a = 4.5462 Å, b = 4.5462 Å, c = 4.4405 Å
α = 79.67°, β = 79.67°, γ = 34.10°
Fractional positions:
Co1 0.9993 0.9993 0.9924
Co2 0.5007 0.5007 0.5076
Cu1 0.7500 0.7500 0.7500
Pt1 0.2500 0.2500 0.2500

---

# 6
## Co2CuPt3 (PBE-GGA)

Data for a relaxed Co2CuPt3 crystal.

Values from the calculation:
formation enthalpy at 0 K	-0.124	eV/atom
space-group type	No. 123
magnetic moment	4.89	μB/cell

a = 2.7196 Å, b = 2.7196 Å, c = 11.1135 Å
α = 90.00°, β = 90.00°, γ = 90.00°
Fractional positions:
Co1 0.5000 0.5000 0.8320
Co2 0.5000 0.5000 0.1680
Cu1 0.5000 0.5000 0.5000
Pt1 0.0000 0.0000 0.0000
Pt2 0.0000 0.0000 0.6705
Pt3 0.0000 0.0000 0.3295

---

# 7
## CoCu2Pt8 (PBE-GGA)

Data for a relaxed CoCu2Pt8 crystal.

Values from the calculation:
formation enthalpy at 0 K	-0.087	eV/atom
space-group type	No. 12
magnetic moment	3.28	μB/cell

a = 3.9008 Å, b = 6.1663 Å, c = 7.2680 Å
α = 104.92°, β = 105.57°, γ = 90.00°
Fractional positions:
Co1 0.5000 0.0000 0.0000
Cu1 0.2270 0.6334 0.4540
Cu2 0.7730 0.3666 0.5460
Pt1 0.5944 0.4480 0.1889
Pt2 0.3188 0.0875 0.6376
Pt3 0.1363 0.1839 0.2725
Pt4 0.0469 0.7281 0.0938
Pt5 0.8637 0.8161 0.7275
Pt6 0.6812 0.9125 0.3624
Pt7 0.4056 0.5520 0.8111
Pt8 0.9531 0.2719 0.9062

---

# 8
## Co2CuPt (PBE-GGA)

Data for a relaxed Co2CuPt crystal.

Values from the calculation:
formation enthalpy at 0 K	0.067	eV/atom
space-group type	No. 123
magnetic moment	3.71	μB/cell

a = 2.6409 Å, b = 2.6409 Å, c = 7.2095 Å
α = 90.00°, β = 90.00°, γ = 89.99°
Fractional positions:
Co1 0.0000 0.0000 0.0120
Co2 0.0000 0.0000 0.4880
Cu1 0.5000 0.5000 0.2500
Pt1 0.5000 0.5000 0.7500

---

# 9
## Co2CuPt (PBE-GGA)

Data for a relaxed Co2CuPt crystal.

Values from the calculation:
formation enthalpy at 0 K	0.018	eV/atom
space-group type	No. 139
magnetic moment	3.86	μB/cell

a = 4.5954 Å, b = 4.5954 Å, c = 4.5954 Å
α = 133.43°, β = 133.44°, γ = 67.97°
Fractional positions:
Co1 0.0000 0.0000 0.0000
Co2 0.5000 0.5000 0.0000
Cu1 0.2500 0.7500 0.5000
Pt1 0.7500 0.2500 0.5000

---

# 10
## CoCu2Pt3 (PBE-GGA)

Data for a relaxed CoCu2Pt3 crystal.

Values from the calculation:
formation enthalpy at 0 K	-0.129	eV/atom
space-group type	No. 65
magnetic moment	5.82	μB/cell

a = 3.8861 Å, b = 6.1629 Å, c = 7.2942 Å
α = 90.00°, β = 90.00°, γ = 71.62°
Fractional positions:
Co1 0.3267 0.3466 0.0000
Co2 0.6733 0.6534 0.0000
Cu1 0.0000 0.0000 0.0000
Cu2 0.0000 0.0000 0.5000
Cu3 0.3337 0.3325 0.5000
Cu4 0.6663 0.6675 0.5000
Pt1 0.8335 0.3329 0.7527
Pt2 0.5000 0.0000 0.2444
Pt3 0.1665 0.6671 0.2473
Pt4 0.8335 0.3329 0.2473
Pt5 0.1665 0.6671 0.7527
Pt6 0.5000 0.0000 0.7556

---

# 11
## Co2CuPt (PBE-GGA)

Data for a relaxed Co2CuPt crystal.

Values from the calculation:
formation enthalpy at 0 K	-0.001	eV/atom
space-group type	No. 25
magnetic moment	3.77	μB/cell

a = 2.6628 Å, b = 3.5514 Å, c = 5.3046 Å
α = 90.00°, β = 90.00°, γ = 90.00°
Fractional positions:
Co1 0.0000 0.0000 0.0210
Co2 0.5000 0.5000 0.2422
Cu1 0.0000 0.0000 0.4859
Pt1 0.5000 0.5000 0.7509

---

# 12
## CoCu2Pt9 (PBE-GGA)

Data for a relaxed CoCu2Pt9 crystal.

Values from the calculation:
formation enthalpy at 0 K	-0.100	eV/atom
space-group type	No. 123
magnetic moment	2.72	μB/cell

a = 3.8966 Å, b = 3.8966 Å, c = 11.6907 Å
α = 90.00°, β = 90.00°, γ = 90.00°
Fractional positions:
Co1 0.0000 0.0000 0.0000
Cu1 0.0000 0.0000 0.3330
Cu2 0.0000 0.0000 0.6670
Pt1 0.5000 0.5000 0.0000
Pt2 0.5000 0.5000 0.3328
Pt3 0.5000 0.5000 0.6672
Pt4 0.5000 0.0000 0.1648
Pt5 0.5000 0.0000 0.5000
Pt6 0.5000 0.0000 0.8352
Pt7 0.0000 0.5000 0.1648
Pt8 0.0000 0.5000 0.5000
Pt9 0.0000 0.5000 0.8352